6
Lattice="3.815 0.000 0.000 0.000 3.815 0.000 0.000 0.000 11.768" Properties=species:S:1:pos:R:3 comment="Tb2PrTl3, relaxed, DFT PBE" e_form_ev_per_atom=-0.37 spacegroup="P4/mmm, No. 123" dft_energy_ev_per_fu=-23.38 vol_a3_per_fu=171.3 pbc="T T T"
Tb 0.000 0.000 1.903
Tb 0.000 0.000 9.866
Pr 0.000 0.000 5.884
Tl 1.907 1.907 0.000
Tl 1.907 1.907 3.792
Tl 1.907 1.907 7.976

7
Lattice="6.171 -1.915 0.000 6.171 1.915 0.000 -0.491 0.000 8.805" Properties=species:S:1:pos:R:3 comment="Tb2Pr2Tl3, relaxed, DFT PBE" e_form_ev_per_atom=-0.26 relative_energy_mev_per_atom=0 spacegroup="C2/m, No. 12" dft_energy_ev_per_fu=-27.73 vol_a3_per_fu=208.1 pbc="T T T"
Tb 0.642 0.000 1.860
Tb 11.209 0.000 6.945
Pr 2.249 0.000 5.813
Pr 9.602 0.000 2.992
Tl 4.319 0.000 0.392
Tl 5.925 0.000 4.402
Tl 7.532 0.000 8.413